(1)
# YSnRh

An optimized crystal structure of YSnRh (PBE, Alexandria).

Summary:
The total energy is -19.77 eV per formula unit. The value obtained for the magnetic moment is 0.000 Bohr magnetons per cell. The volume is 21.20 Å³/atom. The value obtained for the energy of formation is -0.65 eV per atom.

The structure in POSCAR format:
```
YSnRh
1.0
-2.6827 1.8798 -0.7871
-1.0296 -0.1273 3.2053
4.7816 3.7693 -0.0849
Sn Y Rh
1 1 1
Cartesian
-1.3149 1.7358 1.4171
1.7375 2.7591 0.6677
0.8383 5.1551 2.2445
```


(2)
# La4TaSb

An optimized crystal structure of La4TaSb (PBE, Alexandria).

Summary:
The total energy is -32.55 eV per formula unit. The value obtained for the magnetic moment is 0.686 Bohr magnetons per cell. The volume is 30.05 Å³/atom. The raw formation energy is 0.523 eV per atom.

The structure in POSCAR format:
```
La4TaSb
1.0
0.0000 4.4839 4.4839
4.4839 0.0000 4.4839
4.4839 4.4839 0.0000
La Ta Sb
4 1 1
Cartesian
5.6153 3.3524 5.6153
3.3524 5.6153 5.6153
5.6153 5.6153 3.3524
3.3524 3.3524 3.3524
0.0000 0.0000 0.0000
6.7258 6.7258 6.7258
```


Which value of volume does entry 2 give? 30.05 Å³/atom


Which of these has the lowest magnetic moment? YSnRh


Copy entry 2 word for word.
# La4TaSb

An optimized crystal structure of La4TaSb (PBE, Alexandria).

Summary:
The total energy is -32.55 eV per formula unit. The value obtained for the magnetic moment is 0.686 Bohr magnetons per cell. The volume is 30.05 Å³/atom. The raw formation energy is 0.523 eV per atom.

The structure in POSCAR format:
```
La4TaSb
1.0
0.0000 4.4839 4.4839
4.4839 0.0000 4.4839
4.4839 4.4839 0.0000
La Ta Sb
4 1 1
Cartesian
5.6153 3.3524 5.6153
3.3524 5.6153 5.6153
5.6153 5.6153 3.3524
3.3524 3.3524 3.3524
0.0000 0.0000 0.0000
6.7258 6.7258 6.7258
```


The highest volume belongs to which entry? La4TaSb